A relaxed Tl3NiPd12 crystal. Source: Alexandria, functional GGA-PBE.

Cell lengths 4.0442, 4.0442, 16.0876 Å; angles 90.00, 90.00, 90.00 degrees
Positions (direct):
Tl: 0.0000 0.0000 0.2426
Tl: 0.0000 0.0000 0.5000
Tl: 0.0000 0.0000 0.7574
Ni: 0.0000 0.0000 0.0000
Pd: 0.5000 0.5000 0.0000
Pd: 0.5000 0.5000 0.2397
Pd: 0.5000 0.5000 0.5000
Pd: 0.5000 0.5000 0.7603
Pd: 0.5000 0.0000 0.1125
Pd: 0.5000 0.0000 0.3701
Pd: 0.5000 0.0000 0.6299
Pd: 0.5000 0.0000 0.8875
Pd: 0.0000 0.5000 0.1125
Pd: 0.0000 0.5000 0.3701
Pd: 0.0000 0.5000 0.6299
Pd: 0.0000 0.5000 0.8875

Values from the calculation:
Volume, Å³ per cell: 263.1
Space group: P4/mmm, No. 123
Magnetization, μB/cell: 1.11
DFT total energy, eV per atom: -4.82
Calculated formation energy, eV per formula unit: -2.0